(1)
# UTlIn2Cl6

Crystalline UTlIn2Cl6 at its relaxed geometry (PBE-GGA, Alexandria via LeMat-Bulk).

The density of states at the Fermi level is 0.698 states/eV/atom. The calculation puts the volume at 370 Å³ per cell. Its density is 4.0 g cm⁻³. The calculated total energy comes out at -42.25 eV/f.u.

Cell and atoms, written as POSCAR:
```
UTlIn2Cl6
1.0
4.094 2.364 6.380
-4.094 2.364 6.380
0.000 -4.728 6.380
U Tl In Cl
1 1 2 6
direct
0.000 0.000 0.000
0.500 0.500 0.500
0.213 0.213 0.213
0.787 0.787 0.787
0.122 0.336 0.810
0.190 0.878 0.664
0.336 0.810 0.122
0.664 0.190 0.878
0.810 0.122 0.336
0.878 0.664 0.190
```

(2)
# UTl2InCl6

Crystalline UTl2InCl6 at its relaxed geometry (PBE-GGA, Alexandria via LeMat-Bulk).

The density of states at the Fermi level is 0.721 states/eV/atom. The calculation puts the volume at 355 Å³ per cell. Its density is 4.6 g cm⁻³. The calculated total energy comes out at -42.27 eV/f.u.

Cell and atoms, written as POSCAR:
```
UTl2InCl6
1.0
6.596 -3.991 0.000
6.596 3.991 0.000
-3.922 0.000 6.748
U Tl In Cl
1 2 1 6
direct
0.000 0.000 0.000
0.258 0.258 0.789
0.742 0.742 0.211
0.500 0.500 0.500
0.160 0.678 0.154
0.215 0.215 0.340
0.322 0.840 0.846
0.678 0.160 0.154
0.785 0.785 0.660
0.840 0.322 0.846
```

(3)
# Tl2VIn2Cl6

Crystalline Tl2VIn2Cl6 at its relaxed geometry (PBE-GGA, Alexandria via LeMat-Bulk).

The calculation puts the volume at 356 Å³ per cell. Its density is 4.2 g cm⁻³. The calculated total energy comes out at -40.92 eV/f.u.

Cell and atoms, written as POSCAR:
```
Tl2VIn2Cl6
1.0
4.115 -6.175 0.000
4.115 6.175 0.000
-1.996 0.000 7.011
Tl V In Cl
2 1 2 6
direct
0.153 0.847 0.000
0.847 0.153 0.000
0.500 0.500 0.000
0.319 0.681 0.500
0.681 0.319 0.500
0.169 0.453 0.809
0.336 0.336 0.247
0.453 0.169 0.809
0.547 0.831 0.191
0.664 0.664 0.753
0.831 0.547 0.191
```

(4)
# TlVIn2Cl6

Crystalline TlVIn2Cl6 at its relaxed geometry (PBE-GGA, Alexandria via LeMat-Bulk).

The density of states at the Fermi level is 0.914 states/eV/atom. The calculation puts the volume at 592 Å³ per cell. Its density is 3.9 g cm⁻³. The calculated total energy comes out at -38.30 eV/f.u.

Cell and atoms, written as POSCAR:
```
TlVIn2Cl6
1.0
6.923 0.000 0.000
0.000 8.225 0.000
-6.187 0.000 10.398
Tl V In Cl
2 2 4 12
direct
0.000 0.000 0.000
0.000 0.500 0.500
0.500 0.000 0.500
0.500 0.500 0.000
0.200 0.067 0.731
0.200 0.433 0.231
0.800 0.567 0.769
0.800 0.933 0.269
0.182 0.151 0.475
0.182 0.349 0.975
0.268 0.738 0.919
0.268 0.762 0.419
0.403 0.074 0.286
0.403 0.426 0.786
0.597 0.574 0.214
0.597 0.926 0.714
0.732 0.238 0.581
0.732 0.262 0.081
0.818 0.651 0.025
0.818 0.849 0.525
```